Record 1
Compound: Cd2InPtI
Source: the Alexandria database
Functional: PBE
Structure: optimized geometry

Structure (POSCAR):
```
Cd2InPtI
1.0
5.350 0.000 0.000
0.000 5.350 0.000
0.000 0.000 5.262
Cd In Pt I
2 1 1 1
direct
0.000 0.500 0.000 Cd
0.500 0.000 0.000 Cd
0.000 0.000 0.500 In
0.000 0.000 0.000 Pt
0.500 0.500 0.500 I
```

Results
**D(E_F)**: 1.3 states/eV/f.u.
**Polymorph energy (0 for the lowest one)**: 0.0000 eV/atom
**Space group**: P4/mmm

***

Record 2
Compound: NaHgSb2
Source: the Alexandria database
Functional: PBE
Structure: optimized geometry

Structure (POSCAR):
```
NaHgSb2
1.0
1.821 1.052 9.642
-1.821 1.052 9.642
0.000 -2.103 9.642
Na Hg Sb
1 1 2
direct
0.000 0.000 0.000 Na
0.167 0.167 0.167 Hg
0.578 0.578 0.578 Sb
0.756 0.756 0.756 Sb
```

Results
**D(E_F)**: 0.4 states/eV/f.u.
**Space group**: R3m
**E**: -9.72 eV per formula unit